The following is a DFT calculation (meta-GGA SCAN) of BeFeSe2S at its PBEsol-relaxed geometry.

Cell and atoms, written as extended XYZ:
```
5
Lattice="-1.738 2.161 -2.511 -3.613 -3.386 -0.413 -2.512 2.234 3.660" Properties=species:S:1:pos:R:3 pbc="T T T"
Be -0.869 1.080 -1.256
S 0.000 0.000 0.000
Fe -3.932 0.504 0.368
Se -1.256 1.117 1.830
Se -1.807 -1.693 -0.206
```

Output
Symmetry: No. 123
DOS(E_F) (states/eV per atom): 0.636
M_tot (μB per formula unit): 3.5
ΔE_f (raw) (eV per formula unit): 2.94